No. 1
Tb7PrEr12: optimized geometry, PBE.

* spin magnetization: 0.00 μB/cell
* excess energy over the best structure of this formula in the dataset: 0.000 eV per atom

Cell lengths 12.7720, 12.7720, 13.5360 Å; angles 90.00, 90.00, 120.00 degrees
Space group R-3 (No. 148, hexagonal axes)
Inequivalent atoms, fractional coordinates:
Tb 0.0000 0.0000 0.0000
Tb 0.0682 0.8656 0.3499
Pr 0.0000 0.0000 0.5000
Er 0.0044 0.4369 0.7471
Er 0.0682 0.1998 0.8460

---

No. 2
Tb5Pr2Er4: optimized geometry, PBE.

* spin magnetization: 0.00 μB/cell
* excess energy over the best structure of this formula in the dataset: 0.178 eV per atom

Cell lengths 3.487, 11.486, 18.401 Å; angles 90.00, 90.00, 90.00 degrees
Space group Immm (No. 71)
Inequivalent atoms, fractional coordinates:
Tb 0.000 0.000 0.000
Tb 0.000 0.212 0.323
Pr 0.000 0.500 0.297
Er 0.000 0.224 0.500
Er 0.000 0.500 0.089

---

No. 3
Tb3Pr6Er2: optimized geometry, PBE.

* spin magnetization: 0.00 μB/cell
* excess energy over the best structure of this formula in the dataset: 0.000 eV per atom

Cell lengths 6.174, 6.849, 9.907 Å; angles 89.31, 89.13, 64.27 degrees
Space group P-1 (No. 2)
Inequivalent atoms, fractional coordinates:
Tb 0.000 0.000 0.000
Tb 0.156 0.820 0.633
Pr 0.249 0.647 0.273
Pr 0.290 0.274 0.547
Pr 0.401 0.107 0.182
Er 0.231 0.453 0.899

---

No. 4
TbPr2Er: optimized geometry, PBE.

* spin magnetization: 0.00 μB/cell
* excess energy over the best structure of this formula in the dataset: 0.009 eV per atom

Cell lengths 3.6389, 3.6389, 35.2576 Å; angles 90.00, 90.00, 120.00 degrees
Space group R3m (No. 160, hexagonal axes)
Inequivalent atoms, fractional coordinates:
Tb 0.0000 0.0000 0.0000
Pr 0.0000 0.0000 0.2494
Pr 0.0000 0.0000 0.4167
Er 0.0000 0.0000 0.8324

---

No. 5
TbPr4Er5: optimized geometry, PBE.

* spin magnetization: 0.00 μB/cell
* excess energy over the best structure of this formula in the dataset: 0.040 eV per atom

Cell lengths 10.723, 10.723, 5.953 Å; angles 90.00, 90.00, 90.00 degrees
Space group I4mm (No. 107)
Inequivalent atoms, fractional coordinates:
Tb 0.000 0.000 0.000
Pr 0.000 0.323 0.248
Er 0.000 0.000 0.478
Er 0.189 0.189 0.738

---

No. 6
Tb2Pr8Er: optimized geometry, PBE.

* spin magnetization: 0.00 μB/cell
* excess energy over the best structure of this formula in the dataset: 0.054 eV per atom

Cell lengths 16.951, 6.890, 6.778 Å; angles 90.00, 100.70, 90.00 degrees
Space group C2/m (No. 12)
Inequivalent atoms, fractional coordinates:
Tb 0.194 0.000 0.309
Pr 0.086 0.262 0.903
Pr 0.096 0.500 0.418
Pr 0.244 0.000 0.822
Er 0.000 0.000 0.500

---

No. 7
Tb2Pr7Er2: optimized geometry, PBE.

* spin magnetization: 0.00 μB/cell
* excess energy over the best structure of this formula in the dataset: 0.007 eV per atom

Cell lengths 11.555, 11.589, 6.162 Å; angles 90.00, 111.86, 90.00 degrees
Space group C2/m (No. 12)
Inequivalent atoms, fractional coordinates:
Tb 0.226 0.000 0.091
Pr 0.000 0.000 0.500
Pr 0.074 0.500 0.299
Pr 0.183 0.231 0.681
Er 0.000 0.215 0.000

---

No. 8
TbPr4Er4: optimized geometry, PBE.

* spin magnetization: 0.00 μB/cell
* excess energy over the best structure of this formula in the dataset: 0.000 eV per atom

Cell lengths 10.828, 10.828, 5.084 Å; angles 90.00, 90.00, 90.00 degrees
Space group I4/mmm (No. 139)
Inequivalent atoms, fractional coordinates:
Tb 0.000 0.000 0.000
Pr 0.167 0.167 0.500
Er 0.000 0.336 0.000

---

No. 9
Tb3PrEr2: optimized geometry, PBE.

* spin magnetization: 0.00 μB/cell
* excess energy over the best structure of this formula in the dataset: 0.206 eV per atom

Cell lengths 9.997, 12.002, 6.533 Å; angles 90.00, 90.83, 90.00 degrees
Space group C2/c (No. 15)
Inequivalent atoms, fractional coordinates:
Tb 0.000 0.221 0.250
Tb 0.176 0.001 0.993
Pr 0.000 0.499 0.750
Er 0.172 0.256 0.747

---

No. 10
Tb9Pr2Er3: optimized geometry, PBE.

* uncorrected energy: -0.3180 Ry per atom
* spin magnetization: 0.00 μB/cell

Cell lengths 17.888, 10.174, 5.415 Å; angles 90.00, 107.51, 90.00 degrees
Space group C2/m (No. 12)
Inequivalent atoms, fractional coordinates:
Tb 0.000 0.000 0.000
Tb 0.126 0.276 0.126
Tb 0.194 0.152 0.692
Pr 0.000 0.264 0.500
Er 0.000 0.500 0.000
Er 0.178 0.500 0.678

---

No. 11
Tb3Pr2Er4: optimized geometry, PBE.

* spin magnetization: 0.00 μB/cell
* excess energy over the best structure of this formula in the dataset: 0.000 eV per atom

Cell lengths 6.178, 6.181, 9.441 Å; angles 108.91, 90.10, 119.98 degrees
Space group P-1 (No. 2)
Inequivalent atoms, fractional coordinates:
Tb 0.000 0.000 0.000
Tb 0.445 0.554 0.331
Pr 0.224 0.781 0.669
Er 0.110 0.887 0.331
Er 0.332 0.665 0.000

---

No. 12
Tb2Pr5Er3: optimized geometry, PBE.

* spin magnetization: 0.01 μB/cell
* excess energy over the best structure of this formula in the dataset: 0.191 eV per atom

Cell lengths 9.472, 13.728, 11.025 Å; angles 90.00, 90.00, 90.00 degrees
Space group Ibam (No. 72)
Inequivalent atoms, fractional coordinates:
Tb 0.089 0.118 0.000
Pr 0.000 0.246 0.250
Pr 0.000 0.500 0.250
Pr 0.104 0.371 0.500
Er 0.000 0.000 0.250
Er 0.249 0.376 0.000